DFT (PBE) results for a geometry-optimized SrNb3P structure.

Cell lengths 4.8240, 4.8240, 4.8240 Å; angles 90.00, 90.00, 90.00 degrees
Positions (direct):
Sr (0.5000, 0.5000, 0.5000)
Nb (0.0000, 0.5000, 0.0000)
Nb (0.0000, 0.0000, 0.5000)
Nb (0.5000, 0.0000, 0.0000)
P (0.0000, 0.0000, 0.0000)

The calculation puts the total energy at -35.7 eV per cell. As for the crystal system: cubic. The energy relative to the lowest polymorph listed for this composition is 0.0000 eV per atom. The formation energy from the elements is 0.3196 eV per atom.


DFT (PBE) results for a geometry-optimized K2Al5Ga3 structure.

Cell lengths 6.1974, 9.0413, 9.0413 Å; angles 79.99, 69.96, 69.96 degrees
Positions (direct):
K (0.1254, 0.6277, 0.1214)
K (0.6254, 0.1214, 0.6277)
K (0.8746, 0.3723, 0.8786)
K (0.3746, 0.8786, 0.3723)
Al (0.3748, 0.2587, 0.9916)
Al (0.8748, 0.9916, 0.2587)
Al (0.6252, 0.7413, 0.0084)
Al (0.1252, 0.0084, 0.7413)
Al (0.5071, 0.7429, 0.7429)
Al (0.4929, 0.2571, 0.2571)
Al (0.7500, 0.5000, 0.5000)
Al (0.2500, 0.5000, 0.5000)
Al (0.9929, 0.2571, 0.2571)
Al (0.0071, 0.7429, 0.7429)
Ga (0.3777, 0.4836, 0.7610)
Ga (0.8777, 0.7610, 0.4836)
Ga (0.6223, 0.5164, 0.2390)
Ga (0.1223, 0.2390, 0.5164)
Ga (0.2500, 0.0000, 0.0000)
Ga (0.7500, 0.0000, 0.0000)

The calculation puts the total energy at -60.9 eV per cell. As for the crystal system: orthorhombic. The formation energy from the elements is -0.0469 eV per atom.


DFT (PBE) results for a geometry-optimized Ho2TmUAs4 structure.

Cell lengths 4.0704, 7.0698, 7.0735 Å; angles 109.20, 90.00, 90.00 degrees
Positions (direct):
Ho (0.5000, 0.0000, 0.5000)
Ho (0.0000, 0.5000, 0.5000)
Tm (0.5000, 0.5000, 0.0000)
U (0.0000, 0.0000, 0.0000)
As (0.5000, 0.2497, 0.2481)
As (0.5000, 0.7503, 0.7519)
As (0.0000, 0.2495, 0.7539)
As (0.0000, 0.7505, 0.2461)

The calculation puts the total energy at -54.0 eV per cell. As for the crystal system: monoclinic. The formation energy from the elements is -1.3169 eV per atom.


DFT (PBE) results for a geometry-optimized CsRb3P structure.

Cell lengths 7.5327, 7.5327, 7.5327 Å; angles 90.00, 90.00, 90.00 degrees
Positions (direct):
Cs (0.0000, 0.0000, 0.0000)
P (0.5000, 0.5000, 0.5000)
Rb (0.0000, 0.5000, 0.0000)
Rb (0.0000, 0.0000, 0.5000)
Rb (0.5000, 0.0000, 0.0000)

The calculation puts the total energy at -4.7 eV per cell. As for the crystal system: cubic. The energy relative to the lowest polymorph listed for this composition is 0.9016 eV per atom. The formation energy from the elements is 0.8919 eV per atom.


DFT (PBE) results for a geometry-optimized DyEr2Tm structure.

Cell lengths 3.5021, 3.5021, 9.9134 Å; angles 90.00, 90.00, 90.00 degrees
Positions (direct):
Tm (0.5000, 0.5000, 0.0000)
Dy (0.5000, 0.5000, 0.5000)
Er (0.0000, 0.0000, 0.7516)
Er (0.0000, 0.0000, 0.2484)

The calculation puts the total energy at -18.1 eV per cell. As for the crystal system: tetragonal. The energy relative to the lowest polymorph listed for this composition is 0.0162 eV per atom. The formation energy from the elements is 0.0238 eV per atom.


DFT (PBE) results for a geometry-optimized PaFeNi2 structure.

Cell lengths 3.4461, 3.4461, 5.0388 Å; angles 90.00, 90.00, 90.00 degrees
Positions (direct):
Ni (0.0000, 0.0000, 0.7655)
Ni (0.0000, 0.0000, 0.2345)
Pa (0.5000, 0.5000, 0.5000)
Fe (0.5000, 0.5000, 0.0000)

The calculation puts the total energy at -30.0 eV per cell. As for the crystal system: tetragonal. The formation energy from the elements is -0.1080 eV per atom.


DFT (PBE) results for a geometry-optimized Sm3TeC structure.

Cell lengths 6.4159, 9.4026, 9.4026 Å; angles 94.01, 100.65, 100.65 degrees
Positions (direct):
Sm (0.5534, 0.1972, 0.0016)
Sm (0.9466, 0.9984, 0.8028)
Sm (0.4466, 0.8028, 0.9984)
Sm (0.0534, 0.0016, 0.1972)
Sm (0.9179, 0.6517, 0.0579)
Sm (0.5821, 0.9421, 0.3483)
Sm (0.0821, 0.3483, 0.9421)
Sm (0.4179, 0.0579, 0.6517)
Sm (0.4632, 0.5776, 0.2638)
Sm (0.0368, 0.7362, 0.4224)
Sm (0.5368, 0.4224, 0.7362)
Sm (0.9632, 0.2638, 0.5776)
Te (0.9428, 0.4013, 0.2590)
Te (0.5572, 0.7410, 0.5987)
Te (0.0572, 0.5987, 0.7410)
Te (0.4428, 0.2590, 0.4013)
C (0.2500, 0.2169, 0.7831)
C (0.7500, 0.7831, 0.2169)
C (0.2500, 0.7816, 0.2184)
C (0.7500, 0.2184, 0.7816)

The calculation puts the total energy at -117.1 eV per cell. As for the crystal system: monoclinic. The uncorrected formation energy is -0.55 eV/atom. The energy relative to the lowest polymorph listed for this composition is 0.0000 eV per atom.


DFT (PBE) results for a geometry-optimized MgOsN structure.

Cell lengths 7.9608, 7.9608, 9.1629 Å; angles 61.34, 61.34, 20.73 degrees
Positions (direct):
Mg (0.6026, 0.6026, 0.3274)
Mg (0.3974, 0.3974, 0.6726)
Mg (0.3674, 0.3674, 0.0746)
Mg (0.6326, 0.6326, 0.9254)
Os (0.5847, 0.5847, 0.6642)
Os (0.4153, 0.4153, 0.3358)
Os (0.7615, 0.7615, 0.3682)
Os (0.2385, 0.2385, 0.6318)
N (0.5409, 0.5409, 0.1695)
N (0.4591, 0.4591, 0.8305)
N (0.2171, 0.2171, 0.2543)
N (0.7829, 0.7829, 0.7457)

The calculation puts the total energy at -81.9 eV per cell. As for the crystal system: monoclinic. The uncorrected formation energy is 0.22 eV/atom. The energy relative to the lowest polymorph listed for this composition is 0.1153 eV per atom.


DFT (PBE) results for a geometry-optimized Al2Ru3W structure.

Cell lengths 3.0436, 3.0436, 9.1515 Å; angles 90.00, 90.00, 90.00 degrees
Positions (direct):
Al (0.5000, 0.5000, 0.8454)
Al (0.5000, 0.5000, 0.1546)
Ru (0.0000, 0.0000, 0.0000)
Ru (0.0000, 0.0000, 0.6703)
Ru (0.0000, 0.0000, 0.3297)
W (0.5000, 0.5000, 0.5000)

The calculation puts the total energy at -51.3 eV per cell. As for the crystal system: tetragonal. The formation energy from the elements is -0.4985 eV per atom.


DFT (PBE) results for a geometry-optimized AcTmAg2Hg4 structure.

Cell lengths 4.9581, 4.9581, 9.7055 Å; angles 75.20, 75.20, 60.00 degrees
Positions (direct):
Ac (0.0000, 0.0000, 0.0000)
Tm (0.5000, 0.5000, 0.5000)
Ag (0.7648, 0.7648, 0.7056)
Ag (0.2352, 0.2352, 0.2944)
Hg (0.3901, 0.3901, 0.8297)
Hg (0.8753, 0.8753, 0.3740)
Hg (0.1247, 0.1247, 0.6260)
Hg (0.6099, 0.6099, 0.1703)

The calculation puts the total energy at -17.9 eV per cell. As for the crystal system: trigonal. The formation energy from the elements is -0.3074 eV per atom.


DFT (PBE) results for a geometry-optimized Sc2Al2Bi structure.

Cell lengths 8.1204, 8.1204, 3.4880 Å; angles 90.00, 90.00, 90.00 degrees
Positions (direct):
Sc (0.3189, 0.8189, 0.0000)
Sc (0.8189, 0.6811, 0.0000)
Sc (0.6811, 0.1811, 0.0000)
Sc (0.1811, 0.3189, 0.0000)
Bi (0.0000, 0.0000, 0.0000)
Bi (0.5000, 0.5000, 0.0000)
Al (0.1131, 0.6131, 0.5000)
Al (0.6131, 0.8869, 0.5000)
Al (0.8869, 0.3869, 0.5000)
Al (0.3869, 0.1131, 0.5000)

The calculation puts the total energy at -49.9 eV per cell. As for the crystal system: tetragonal. The energy relative to the lowest polymorph listed for this composition is 0.1318 eV per atom. The formation energy from the elements is -0.1847 eV per atom.


DFT (PBE) results for a geometry-optimized K2Ni2MoS4 structure.

Cell lengths 3.6170, 7.5099, 6.8558 Å; angles 106.56, 105.29, 90.00 degrees
Positions (direct):
K (0.1350, 0.5594, 0.2699)
K (0.8650, 0.4406, 0.7301)
Ni (0.6692, 0.9851, 0.3385)
Ni (0.3308, 0.0149, 0.6615)
Mo (0.0000, 0.0000, 0.0000)
S (0.1957, 0.1642, 0.3914)
S (0.8043, 0.8358, 0.6086)
S (0.5136, 0.7745, 0.0272)
S (0.4864, 0.2255, 0.9728)

The calculation puts the total energy at -47.4 eV per cell. As for the crystal system: monoclinic. The uncorrected formation energy is -0.70 eV/atom.


DFT (PBE) results for a geometry-optimized MgZnPb2 structure.

Cell lengths 10.2108, 10.2108, 10.2108 Å; angles 19.51, 19.51, 19.51 degrees
Positions (direct):
Mg (0.7610, 0.7610, 0.7610)
Pb (0.0062, 0.0062, 0.0062)
Pb (0.2394, 0.2394, 0.2394)
Zn (0.4934, 0.4934, 0.4934)

The calculation puts the total energy at -10.0 eV per cell. As for the crystal system: trigonal. The energy relative to the lowest polymorph listed for this composition is 0.0611 eV per atom. The formation energy from the elements is 0.0712 eV per atom.


DFT (PBE) results for a geometry-optimized SrIn2Fe structure.

Cell lengths 3.5009, 3.5009, 7.7637 Å; angles 90.00, 90.00, 90.00 degrees
Positions (direct):
Fe (0.5000, 0.5000, 0.7500)
In (0.0000, 0.0000, 0.9390)
In (0.0000, 0.0000, 0.5610)
Sr (0.5000, 0.5000, 0.2500)

The calculation puts the total energy at -15.4 eV per cell. As for the crystal system: tetragonal. The formation energy from the elements is 0.0448 eV per atom.


DFT (PBE) results for a geometry-optimized MnZn3Ni8 structure.

Cell lengths 6.4768, 6.4768, 6.4768 Å; angles 109.56, 109.43, 109.43 degrees
Positions (direct):
Mn (0.0000, 0.0000, 0.0000)
Zn (0.5000, 0.7500, 0.2500)
Zn (0.5000, 0.2500, 0.7500)
Zn (0.0000, 0.5000, 0.5000)
Ni (0.7012, 0.0994, 0.0994)
Ni (0.2988, 0.3982, 0.3982)
Ni (0.0000, 0.9006, 0.6018)
Ni (0.0000, 0.6018, 0.9006)
Ni (0.7012, 0.6018, 0.6018)
Ni (0.2988, 0.9006, 0.9006)
Ni (0.0000, 0.3982, 0.0994)
Ni (0.0000, 0.0994, 0.3982)

The calculation puts the total energy at -51.5 eV per cell. As for the crystal system: tetragonal. The formation energy from the elements is 0.6485 eV per atom.


DFT (PBE) results for a geometry-optimized CaZnCl2 structure.

Cell lengths 11.3133, 11.3133, 11.3133 Å; angles 20.83, 20.83, 20.83 degrees
Positions (direct):
Zn (0.0000, 0.0000, 0.0000)
Ca (0.5000, 0.5000, 0.5000)
Cl (0.8762, 0.8762, 0.8762)
Cl (0.1238, 0.1238, 0.1238)

The calculation puts the total energy at -13.1 eV per cell. As for the crystal system: trigonal. The uncorrected formation energy is -1.54 eV/atom. The energy relative to the lowest polymorph listed for this composition is 0.0003 eV per atom.


DFT (PBE) results for a geometry-optimized Ba2TcRhO6 structure.

Cell lengths 5.8432, 5.8432, 10.2177 Å; angles 73.39, 73.39, 60.00 degrees
Positions (direct):
Ba (0.8765, 0.8765, 0.3705)
Ba (0.1235, 0.1235, 0.6295)
Ba (0.7112, 0.7112, 0.8664)
Ba (0.2888, 0.2888, 0.1336)
Tc (0.0000, 0.0000, 0.0000)
Tc (0.5000, 0.5000, 0.5000)
Rh (0.5885, 0.5885, 0.2344)
Rh (0.4115, 0.4115, 0.7656)
O (0.8557, 0.3873, 0.3697)
O (0.3873, 0.8557, 0.3697)
O (0.3873, 0.3873, 0.3697)
O (0.1443, 0.6127, 0.6303)
O (0.6127, 0.1443, 0.6303)
O (0.6127, 0.6127, 0.6303)
O (0.7178, 0.2005, 0.8812)
O (0.2005, 0.7178, 0.8812)
O (0.2005, 0.2005, 0.8812)
O (0.2822, 0.7995, 0.1188)
O (0.7995, 0.2822, 0.1188)
O (0.7995, 0.7995, 0.1188)

The calculation puts the total energy at -139.4 eV per cell. As for the crystal system: trigonal. The uncorrected formation energy is -1.84 eV/atom.


DFT (PBE) results for a geometry-optimized LiTcHgBr6 structure.

Cell lengths 6.8304, 6.8304, 12.6863 Å; angles 90.00, 90.00, 120.00 degrees
Positions (direct):
Li (0.3333, 0.6667, 0.2500)
Li (0.6667, 0.3333, 0.7500)
Tc (0.6667, 0.3333, 0.2500)
Tc (0.3333, 0.6667, 0.7500)
Hg (0.0000, 0.0000, 0.0000)
Hg (0.0000, 0.0000, 0.5000)
Br (0.6427, 0.6232, 0.1338)
Br (0.9805, 0.3573, 0.1338)
Br (0.3573, 0.9805, 0.6338)
Br (0.0195, 0.6427, 0.8662)
Br (0.3768, 0.3573, 0.3662)
Br (0.9805, 0.6232, 0.3662)
Br (0.6232, 0.9805, 0.8662)
Br (0.6427, 0.0195, 0.3662)
Br (0.0195, 0.3768, 0.6338)
Br (0.3768, 0.0195, 0.1338)
Br (0.6232, 0.6427, 0.6338)
Br (0.3573, 0.3768, 0.8662)

The calculation puts the total energy at -55.7 eV per cell. As for the crystal system: trigonal. The uncorrected formation energy is -0.58 eV/atom.


DFT (PBE) results for a geometry-optimized HfSi2S8 structure.

Cell lengths 5.9319, 8.0190, 8.0190 Å; angles 105.45, 79.52, 79.52 degrees
Positions (direct):
Hf (0.0000, 0.0000, 0.0000)
Si (0.2887, 0.2182, 0.2182)
Si (0.7113, 0.7818, 0.7818)
S (0.8274, 0.9997, 0.7312)
S (0.1726, 0.2688, 0.0003)
S (0.6393, 0.2288, 0.2288)
S (0.3607, 0.7712, 0.7712)
S (0.8274, 0.7312, 0.9997)
S (0.1726, 0.0003, 0.2688)
S (0.1777, 0.4614, 0.4614)
S (0.8223, 0.5386, 0.5386)

The calculation puts the total energy at -60.0 eV per cell. As for the crystal system: monoclinic. The uncorrected formation energy is -0.56 eV/atom.


DFT (PBE) results for a geometry-optimized Mg3Si4O12 structure.

Cell lengths 5.3297, 5.3848, 9.9741 Å; angles 98.14, 86.06, 119.64 degrees
Positions (direct):
Mg (0.6767, 0.8534, 0.0000)
Mg (0.3233, 0.1466, 0.0000)
Mg (0.0000, 0.5000, 0.0000)
Si (0.3273, 0.9067, 0.2817)
Si (0.6727, 0.0933, 0.7183)
Si (0.0051, 0.7581, 0.7184)
Si (0.9949, 0.2419, 0.2816)
O (0.6479, 0.5225, 0.0857)
O (0.3521, 0.4775, 0.9143)
O (0.1544, 0.5883, 0.3348)
O (0.8456, 0.4117, 0.6652)
O (0.3262, 0.8644, 0.1148)
O (0.6738, 0.1356, 0.8852)
O (0.0080, 0.8038, 0.8853)
O (0.9920, 0.1962, 0.1147)
O (0.3387, 0.9178, 0.6631)
O (0.6613, 0.0822, 0.3369)
O (0.1678, 0.0954, 0.3368)
O (0.8322, 0.9046, 0.6632)

The calculation puts the total energy at -134.0 eV per cell. As for the crystal system: triclinic. The uncorrected formation energy is -2.53 eV/atom. The energy relative to the lowest polymorph listed for this composition is 0.0452 eV per atom.